Rb3Sn5S12 | PBE-GGA | relaxed

Raw total energy (eV per atom): -4.07
SG: No. 230
Formation energy without anion corrections (eV per formula unit): -9.003

Unit cell a=14.2736 b=14.2736 c=14.2736 alpha=109.47 beta=109.47 gamma=109.47
Last column: nearest neighbours and their distance in Å.
Element x y z (fractional)
S (0.6098, 0.0208, 0.2010)  2 Sn 2.46-2.63
S (0.7010, 0.1098, 0.0208)  2 Sn 2.46-2.63
S (0.8902, 0.2990, 0.4792)  2 Sn 2.46-2.63
S (0.6801, 0.4792, 0.5889)  2 Sn 2.46-2.63
S (0.1098, 0.4088, 0.0889)  2 Sn 2.46-2.63
S (0.0208, 0.4111, 0.8199)  2 Sn 2.46-2.63
S (0.8199, 0.9088, 0.2990)  2 Sn 2.46-2.63
S (0.9111, 0.8199, 0.5208)  2 Sn 2.46-2.63
S (0.9088, 0.0889, 0.6098)  2 Sn 2.46-2.63
S (0.7010, 0.5912, 0.1801)  2 Sn 2.46-2.63
S (0.7990, 0.4792, 0.3902)  2 Sn 2.46-2.63
S (0.3902, 0.4111, 0.0912)  2 Sn 2.46-2.63
S (0.5208, 0.3199, 0.9111)  2 Sn 2.46-2.63
S (0.9111, 0.0912, 0.8902)  2 Sn 2.46-2.63
S (0.4792, 0.6801, 0.0889)  2 Sn 2.46-2.63
S (0.4088, 0.2990, 0.3199)  2 Sn 2.46-2.63
S (0.0208, 0.6098, 0.7010)  2 Sn 2.46-2.63
S (0.3199, 0.5208, 0.4111)  2 Sn 2.46-2.63
S (0.9792, 0.5889, 0.1801)  2 Sn 2.46-2.63
S (0.6801, 0.2010, 0.5912)  2 Sn 2.46-2.63
S (0.0912, 0.9111, 0.3902)  2 Sn 2.46-2.63
S (0.8902, 0.5912, 0.9111)  2 Sn 2.46-2.63
S (0.3902, 0.9792, 0.7990)  2 Sn 2.46-2.63
S (0.1098, 0.7010, 0.5208)  2 Sn 2.46-2.63
S (0.0889, 0.1801, 0.4792)  2 Sn 2.46-2.63
S (0.2010, 0.6801, 0.0912)  2 Sn 2.46-2.63
S (0.6098, 0.5889, 0.9088)  2 Sn 2.46-2.63
S (0.5208, 0.2010, 0.1098)  2 Sn 2.46-2.63
S (0.9792, 0.3902, 0.2990)  2 Sn 2.46-2.63
S (0.0889, 0.9088, 0.1098)  2 Sn 2.46-2.63
S (0.5889, 0.6098, 0.4088)  2 Sn 2.46-2.63
S (0.1801, 0.0889, 0.9792)  2 Sn 2.46-2.63
S (0.4111, 0.0208, 0.3199)  2 Sn 2.46-2.63
S (0.3199, 0.7990, 0.4088)  2 Sn 2.46-2.63
S (0.8199, 0.9111, 0.0208)  2 Sn 2.46-2.63
S (0.5912, 0.8902, 0.4111)  2 Sn 2.46-2.63
S (0.5889, 0.9792, 0.6801)  2 Sn 2.46-2.63
S (0.4088, 0.1098, 0.5889)  2 Sn 2.46-2.63
S (0.5912, 0.7010, 0.6801)  2 Sn 2.46-2.63
S (0.0912, 0.1801, 0.2010)  2 Sn 2.46-2.63
S (0.1801, 0.0912, 0.7010)  2 Sn 2.46-2.63
S (0.2010, 0.5208, 0.6098)  2 Sn 2.46-2.63
S (0.4111, 0.3902, 0.5912)  2 Sn 2.46-2.63
S (0.4792, 0.7990, 0.8902)  2 Sn 2.46-2.63
S (0.2990, 0.8902, 0.9792)  2 Sn 2.46-2.63
S (0.2990, 0.4088, 0.8199)  2 Sn 2.46-2.63
S (0.7990, 0.3199, 0.9088)  2 Sn 2.46-2.63
S (0.9088, 0.8199, 0.7990)  2 Sn 2.46-2.63
Sn (0.5000, 0.0000, 0.0000)  6 S 2.63
Sn (0.5000, 0.5000, 0.5000)  6 S 2.63
Sn (0.5000, 0.5000, 0.0000)  6 S 2.63
Sn (0.8750, 0.2500, 0.6250)  4 S 2.46
Sn (0.0000, 0.5000, 0.0000)  6 S 2.63
Sn (0.6250, 0.7500, 0.8750)  4 S 2.46
Sn (0.6250, 0.8750, 0.2500)  4 S 2.46
Sn (0.0000, 0.0000, 0.5000)  6 S 2.63
Sn (0.5000, 0.0000, 0.5000)  6 S 2.63
Sn (0.3750, 0.1250, 0.7500)  4 S 2.46
Sn (0.3750, 0.2500, 0.1250)  4 S 2.46
Sn (0.7500, 0.1250, 0.8750)  4 S 2.46
Sn (0.8750, 0.6250, 0.7500)  4 S 2.46
Sn (0.1250, 0.3750, 0.2500)  4 S 2.46
Sn (0.1250, 0.7500, 0.3750)  4 S 2.46
Sn (0.0000, 0.0000, 0.0000)  6 S 2.63
Sn (0.0000, 0.5000, 0.5000)  6 S 2.63
Sn (0.7500, 0.6250, 0.3750)  4 S 2.46
Sn (0.2500, 0.3750, 0.6250)  4 S 2.46
Sn (0.2500, 0.8750, 0.1250)  4 S 2.46
Rb (0.6250, 0.2500, 0.3750)  8 S 3.27-3.29
Rb (0.8750, 0.7500, 0.1250)  8 S 3.27-3.29
Rb (0.3750, 0.7500, 0.6250)  8 S 3.27-3.29
Rb (0.2500, 0.6250, 0.8750)  8 S 3.27-3.29
Rb (0.7500, 0.3750, 0.1250)  8 S 3.27-3.29
Rb (0.3750, 0.6250, 0.2500)  8 S 3.27-3.29
Rb (0.1250, 0.2500, 0.8750)  8 S 3.27-3.29
Rb (0.7500, 0.8750, 0.6250)  8 S 3.27-3.29
Rb (0.1250, 0.8750, 0.7500)  8 S 3.27-3.29
Rb (0.2500, 0.1250, 0.3750)  8 S 3.27-3.29
Rb (0.6250, 0.3750, 0.7500)  8 S 3.27-3.29
Rb (0.8750, 0.1250, 0.2500)  8 S 3.27-3.29

RbSn4S8 | PBE-GGA | relaxed

Raw total energy (eV per atom): -4.18
SG: No. 216
Formation energy without anion corrections (eV per formula unit): -4.356
Energy relative to the lowest polymorph listed for this composition (meV/atom): 192

Unit cell a=8.0498 b=8.0498 c=8.0498 alpha=60.00 beta=60.00 gamma=60.00
Last column: nearest neighbours and their distance in Å.
Element x y z (fractional)
S (0.1370, 0.1370, 0.5890)  3 Sn 2.68
S (0.1906, 0.6031, 0.6031)  3 Sn 2.66, 1 Rb 2.90
S (0.1370, 0.1370, 0.1370)  3 Sn 2.68
S (0.1370, 0.5890, 0.1370)  3 Sn 2.68
S (0.5890, 0.1370, 0.1370)  3 Sn 2.68
S (0.6031, 0.1906, 0.6031)  3 Sn 2.66, 1 Rb 2.90
S (0.6031, 0.6031, 0.1906)  3 Sn 2.66, 1 Rb 2.90
S (0.6031, 0.6031, 0.6031)  3 Sn 2.66, 1 Rb 2.90
Sn (0.3719, 0.3719, 0.3719)  6 S 2.66-2.68
Sn (0.8844, 0.3719, 0.3719)  6 S 2.66-2.68
Sn (0.3719, 0.8844, 0.3719)  6 S 2.66-2.68
Sn (0.3719, 0.3719, 0.8844)  6 S 2.66-2.68
Rb (0.7500, 0.7500, 0.7500)  4 S 2.90

Number 1: D(E_F) 0.890 states/eV per atom. Number 2: D(E_F) 0.282 states/eV per atom.